No. 1
# Y6TeAs2S3

A relaxed Y6TeAs2S3 crystal (GGA-PBE, Alexandria via LeMat-Bulk).

Summary:
**Magnetization**: 0.000 μB/cell
**Uncorrected formation energy**: -1746.4 meV/atom

Cell and atoms, written as POSCAR:
```
Y6TeAs2S3
1.0
8.856 -2.027 0.000
8.856 2.027 0.000
-1.841 0.000 7.954
Y Te As S
6 1 2 3
Direct
0.000 0.000 0.220 Y
0.000 0.000 0.780 Y
0.323 0.323 0.410 Y
0.334 0.334 0.917 Y
0.666 0.666 0.083 Y
0.677 0.677 0.590 Y
0.500 0.500 0.500 Te
0.167 0.167 0.832 As
0.833 0.833 0.168 As
0.163 0.163 0.333 S
0.500 0.500 0.000 S
0.837 0.837 0.667 S
```

***

No. 2
# Th2AsS

A relaxed Th2AsS crystal (GGA-PBE, Alexandria via LeMat-Bulk).

Summary:
**Magnetization**: 0.000 μB/cell
**Polymorph energy (0 for the lowest one)**: 0.158 eV per atom
**Uncorrected formation energy**: -1464.0 meV/atom

Cell and atoms, written as POSCAR:
```
Th2AsS
1.0
2.002 1.156 7.437
-2.002 1.156 7.437
0.000 -2.312 7.437
Th As S
2 1 1
Direct
0.000 0.000 0.000 Th
0.171 0.171 0.171 Th
0.586 0.586 0.586 As
0.418 0.418 0.418 S
```

***

Let's list E_tot in order: -7.05; -7.37 eV/atom.